Entry 1:
! ScCdCu2Rh, relaxed, DFT PBE-GGA; values from VASP
! N(E_F) (states/eV/f.u.): 2.26
! Magnetization (μB/f.u.): 0.000
! Space group: P4/mmm (123)
! Calculated total energy (eV per cell): -19.04
! Theoretical density (g/cm3): 6.11
&SYSTEM
  ibrav = 0, nat = 5, ntyp = 4
/
ATOMIC_SPECIES
Sc 44.96 Sc.upf
Cd 112.41 Cd.upf
Cu 63.55 Cu.upf
Rh 102.91 Rh.upf
CELL_PARAMETERS angstrom
4.7862 0.0000 0.0000
0.0000 4.7862 0.0000
0.0000 0.0000 4.5934
ATOMIC_POSITIONS crystal
Sc 0.0000 0.0000 0.0000
Cd 0.5000 0.5000 0.5000
Cu 0.0000 0.5000 0.0000
Cu 0.5000 0.0000 0.0000
Rh 0.0000 0.0000 0.5000

Entry 2:
! Ce2Mn17C2, relaxed, DFT PBE-GGA; values from VASP
! N(E_F) (states/eV/f.u.): 24.49
! Magnetization (μB/f.u.): 6.815
! Space group: C2/m (12)
! Calculated total energy (eV per cell): -187.02
! Theoretical density (g/cm3): 7.83
&SYSTEM
  ibrav = 0, nat = 21, ntyp = 3
/
ATOMIC_SPECIES
Ce 140.12 Ce.upf
Mn 54.94 Mn.upf
C 12.01 C.upf
CELL_PARAMETERS angstrom
4.7687 -4.3281 0.0000
4.7687 4.3281 0.0000
-0.9445 0.0000 6.3650
ATOMIC_POSITIONS crystal
Ce 0.1449 0.1449 0.3455
Ce 0.8551 0.8551 0.6545
Mn 0.0000 0.5000 0.0000
Mn 0.1489 0.1489 0.8724
Mn 0.1634 0.6384 0.3382
Mn 0.2188 0.4937 0.7205
Mn 0.2298 0.7702 0.0000
Mn 0.3616 0.8366 0.6618
Mn 0.4051 0.4051 0.0967
Mn 0.4937 0.2188 0.7205
Mn 0.5000 0.0000 0.0000
Mn 0.5000 0.5000 0.5000
Mn 0.5063 0.7812 0.2795
Mn 0.5949 0.5949 0.9033
Mn 0.6384 0.1634 0.3382
Mn 0.7702 0.2298 0.0000
Mn 0.7812 0.5063 0.2795
Mn 0.8366 0.3616 0.6618
Mn 0.8511 0.8511 0.1276
C 0.0000 0.5000 0.5000
C 0.5000 0.0000 0.5000

Entry 3:
! ZrCdSi2, relaxed, DFT PBE-GGA; values from VASP
! N(E_F) (states/eV/f.u.): 1.06
! Magnetization (μB/f.u.): 0.000
! Space group: P4mm (99)
! Calculated total energy (eV per cell): -20.63
! Theoretical density (g/cm3): 5.74
&SYSTEM
  ibrav = 0, nat = 4, ntyp = 3
/
ATOMIC_SPECIES
Zr 91.22 Zr.upf
Cd 112.41 Cd.upf
Si 28.09 Si.upf
CELL_PARAMETERS angstrom
3.7010 0.0000 0.0000
0.0000 3.7010 0.0000
0.0000 0.0000 5.4887
ATOMIC_POSITIONS crystal
Zr 0.0000 0.0000 0.0000
Cd 0.5000 0.5000 0.3156
Si 0.0000 0.0000 0.5156
Si 0.5000 0.5000 0.8170

Entry 4:
! Cs3O, relaxed, DFT PBE-GGA; values from VASP
! N(E_F) (states/eV/f.u.): 2.00
! Magnetization (μB/f.u.): 0.000
! Space group: P6_3/mcm (193)
! Energy above the lowest structure with this stoichiometry (kcal/mol of atoms): 0.00
! Theoretical density (g/cm3): 2.68
&SYSTEM
  ibrav = 0, nat = 8, ntyp = 2
/
ATOMIC_SPECIES
Cs 132.91 Cs.upf
O 16.00 O.upf
CELL_PARAMETERS angstrom
8.8829 0.0000 0.0000
-4.4414 7.6928 0.0000
0.0000 0.0000 7.5262
ATOMIC_POSITIONS crystal
Cs 0.0000 0.2477 0.2500
Cs 0.0000 0.7523 0.7500
Cs 0.2477 0.0000 0.2500
Cs 0.2477 0.2477 0.7500
Cs 0.7523 0.0000 0.7500
Cs 0.7523 0.7523 0.2500
O 0.0000 0.0000 0.0000
O 0.0000 0.0000 0.5000

Entry 5:
! Th2TlF8, relaxed, DFT PBE-GGA; values from VASP
! N(E_F) (states/eV/f.u.): 6.61
! Magnetization (μB/f.u.): 0.822
! Space group: C2/m (12)
! Calculated total energy (eV per cell): -71.40
! Theoretical density (g/cm3): 6.91
&SYSTEM
  ibrav = 0, nat = 11, ntyp = 3
/
ATOMIC_SPECIES
Th 232.04 Th.upf
Tl 204.38 Tl.upf
F 19.00 F.upf
CELL_PARAMETERS angstrom
3.6809 -5.8035 0.0000
3.6809 5.8035 0.0000
-0.6102 0.0000 4.6159
ATOMIC_POSITIONS crystal
Th 0.1750 0.8250 0.0000
Th 0.8250 0.1750 0.0000
Tl 0.5000 0.5000 0.5000
F 0.1027 0.1027 0.2393
F 0.1581 0.4647 0.9296
F 0.2082 0.7918 0.5000
F 0.4647 0.1581 0.9296
F 0.5353 0.8419 0.0704
F 0.7918 0.2082 0.5000
F 0.8419 0.5353 0.0704
F 0.8973 0.8973 0.7607

Entry 6:
! Ce2SnF, relaxed, DFT PBE-GGA; values from VASP
! N(E_F) (states/eV/f.u.): 10.73
! Magnetization (μB/f.u.): 1.410
! Space group: R-3m (166)
! Energy above the lowest structure with this stoichiometry (kcal/mol of atoms): 0.00
! Theoretical density (g/cm3): 7.13
&SYSTEM
  ibrav = 0, nat = 4, ntyp = 3
/
ATOMIC_SPECIES
Ce 140.12 Ce.upf
Sn 118.71 Sn.upf
F 19.00 F.upf
CELL_PARAMETERS angstrom
2.0666 1.1931 6.5758
-2.0666 1.1931 6.5758
0.0000 -2.3863 6.5758
ATOMIC_POSITIONS crystal
Ce 0.2325 0.2325 0.2325
Ce 0.7675 0.7675 0.7675
Sn 0.0000 0.0000 0.0000
F 0.5000 0.5000 0.5000

Entry 7:
! LiGaTc2C, relaxed, DFT PBE-GGA; values from VASP
! N(E_F) (states/eV/f.u.): 3.95
! Magnetization (μB/f.u.): 0.000
! Space group: P4/mmm (123)
! Calculated total energy (eV per cell): -34.70
! Theoretical density (g/cm3): 7.37
&SYSTEM
  ibrav = 0, nat = 5, ntyp = 4
/
ATOMIC_SPECIES
Li 6.94 Li.upf
Ga 69.72 Ga.upf
Tc 98.00 Tc.upf
C 12.01 C.upf
CELL_PARAMETERS angstrom
4.0483 0.0000 0.0000
0.0000 4.0483 0.0000
0.0000 0.0000 3.9119
ATOMIC_POSITIONS crystal
Li 0.0000 0.0000 0.0000
Ga 0.5000 0.5000 0.0000
Tc 0.0000 0.5000 0.5000
Tc 0.5000 0.0000 0.5000
C 0.0000 0.0000 0.5000

Entry 8:
! CaGdMgAu, relaxed, DFT PBE-GGA; values from VASP
! N(E_F) (states/eV/f.u.): 3.94
! Magnetization (μB/f.u.): 7.280
! Space group: F-43m (216)
! Calculated total energy (eV per cell): -22.53
! Theoretical density (g/cm3): 6.77
&SYSTEM
  ibrav = 0, nat = 4, ntyp = 4
/
ATOMIC_SPECIES
Ca 40.08 Ca.upf
Gd 157.25 Gd.upf
Mg 24.30 Mg.upf
Au 196.97 Au.upf
CELL_PARAMETERS angstrom
0.0000 3.7158 3.7158
3.7158 0.0000 3.7158
3.7158 3.7158 0.0000
ATOMIC_POSITIONS crystal
Ca 0.0000 0.0000 0.0000
Gd 0.5000 0.5000 0.5000
Mg 0.2500 0.2500 0.2500
Au 0.7500 0.7500 0.7500

Entry 9:
! CeZr2Sc2, relaxed, DFT PBE-GGA; values from VASP
! N(E_F) (states/eV/f.u.): 10.70
! Magnetization (μB/f.u.): 1.392
! Space group: I4/mmm (139)
! Calculated total energy (eV per cell): -33.88
! Theoretical density (g/cm3): 5.17
&SYSTEM
  ibrav = 0, nat = 5, ntyp = 3
/
ATOMIC_SPECIES
Ce 140.12 Ce.upf
Zr 91.22 Zr.upf
Sc 44.96 Sc.upf
CELL_PARAMETERS angstrom
-2.0806 2.0806 7.6464
2.0806 -2.0806 7.6464
2.0806 2.0806 -7.6464
ATOMIC_POSITIONS crystal
Ce 0.0000 0.0000 0.0000
Zr 0.2500 0.7500 0.5000
Zr 0.7500 0.2500 0.5000
Sc 0.4011 0.4011 0.0000
Sc 0.5989 0.5989 0.0000

Entry 10:
! La3I3Cl, relaxed, DFT PBE-GGA; values from VASP
! N(E_F) (states/eV/f.u.): 3.22
! Magnetization (μB/f.u.): 0.002
! Space group: I4_132 (214)
! Calculated total energy (eV per cell): -122.85
! Theoretical density (g/cm3): 5.83
&SYSTEM
  ibrav = 0, nat = 28, ntyp = 3
/
ATOMIC_SPECIES
La 138.91 La.upf
I 126.90 I.upf
Cl 35.45 Cl.upf
CELL_PARAMETERS angstrom
-6.1913 6.1913 6.1913
6.1913 -6.1913 6.1913
6.1913 6.1913 -6.1913
ATOMIC_POSITIONS crystal
La 0.0183 0.0367 0.2683
La 0.0183 0.4817 0.7500
La 0.0367 0.2683 0.0183
La 0.2317 0.2683 0.7500
La 0.2317 0.4633 0.4817
La 0.2683 0.0183 0.0367
La 0.2683 0.7500 0.2317
La 0.4633 0.4817 0.2317
La 0.4817 0.2317 0.4633
La 0.4817 0.7500 0.0183
La 0.7500 0.0183 0.4817
La 0.7500 0.2317 0.2683
I 0.2500 0.7614 0.7386
I 0.2500 0.9886 0.5114
I 0.5114 0.2500 0.9886
I 0.5114 0.7614 0.5229
I 0.5229 0.5114 0.7614
I 0.7386 0.2500 0.7614
I 0.7386 0.9886 0.9771
I 0.7614 0.5229 0.5114
I 0.7614 0.7386 0.2500
I 0.9771 0.7386 0.9886
I 0.9886 0.5114 0.2500
I 0.9886 0.9771 0.7386
Cl 0.0000 0.2500 0.5000
Cl 0.2500 0.2500 0.2500
Cl 0.2500 0.5000 0.0000
Cl 0.5000 0.0000 0.2500

Entry 11:
! U2SeS3, relaxed, DFT PBE-GGA; values from VASP
! N(E_F) (states/eV/f.u.): 9.32
! Magnetization (μB/f.u.): 4.000
! Space group: R-3m (166)
! Energy above the lowest structure with this stoichiometry (kcal/mol of atoms): 0.00
! Theoretical density (g/cm3): 5.79
&SYSTEM
  ibrav = 0, nat = 12, ntyp = 3
/
ATOMIC_SPECIES
U 238.03 U.upf
Se 78.96 Se.upf
S 32.06 S.upf
CELL_PARAMETERS angstrom
4.0438 2.3347 6.5953
-4.0438 2.3347 6.5953
0.0000 -4.6693 6.5953
ATOMIC_POSITIONS crystal
U 0.0000 0.0000 0.0000
U 0.0000 0.5000 0.5000
U 0.5000 0.0000 0.5000
U 0.5000 0.5000 0.0000
Se 0.2524 0.2524 0.2524
Se 0.7476 0.7476 0.7476
S 0.2354 0.2354 0.7329
S 0.2354 0.7329 0.2354
S 0.2671 0.7646 0.7646
S 0.7329 0.2354 0.2354
S 0.7646 0.2671 0.7646
S 0.7646 0.7646 0.2671

Entry 12:
! SmZn4Ag, relaxed, DFT PBE-GGA; values from VASP
! N(E_F) (states/eV/f.u.): 3.74
! Magnetization (μB/f.u.): 0.000
! Space group: Cmcm (63)
! Energy above the lowest structure with this stoichiometry (kcal/mol of atoms): 0.00
! Theoretical density (g/cm3): 7.62
&SYSTEM
  ibrav = 0, nat = 12, ntyp = 3
/
ATOMIC_SPECIES
Sm 150.36 Sm.upf
Zn 65.41 Zn.upf
Ag 107.87 Ag.upf
CELL_PARAMETERS angstrom
2.0689 -8.2414 0.0000
2.0689 8.2414 0.0000
0.0000 0.0000 6.6478
ATOMIC_POSITIONS crystal
Sm 0.1134 0.8866 0.7500
Sm 0.8866 0.1134 0.2500
Zn 0.0714 0.9286 0.2500
Zn 0.3382 0.6618 0.5574
Zn 0.3382 0.6618 0.9426
Zn 0.5000 0.5000 0.0000
Zn 0.5000 0.5000 0.5000
Zn 0.6618 0.3382 0.0574
Zn 0.6618 0.3382 0.4426
Zn 0.9286 0.0714 0.7500
Ag 0.2352 0.7648 0.2500
Ag 0.7648 0.2352 0.7500

Entry 13:
! CePu2H7, relaxed, DFT PBE-GGA; values from VASP
! N(E_F) (states/eV/f.u.): 19.77
! Magnetization (μB/f.u.): 12.282
! Space group: I4/mmm (139)
! Calculated total energy (eV per cell): -62.35
! Theoretical density (g/cm3): 9.18
&SYSTEM
  ibrav = 0, nat = 10, ntyp = 3
/
ATOMIC_SPECIES
Ce 140.12 Ce.upf
Pu 244.00 Pu.upf
H 1.01 H.upf
CELL_PARAMETERS angstrom
-1.8974 1.8974 7.9791
1.8974 -1.8974 7.9791
1.8974 1.8974 -7.9791
ATOMIC_POSITIONS crystal
Ce 0.0000 0.0000 0.0000
Pu 0.3338 0.3338 0.0000
Pu 0.6662 0.6662 0.0000
H 0.0891 0.5891 0.5000
H 0.2500 0.7500 0.5000
H 0.4109 0.9109 0.5000
H 0.5000 0.5000 0.0000
H 0.5891 0.0891 0.5000
H 0.7500 0.2500 0.5000
H 0.9109 0.4109 0.5000

Entry 14:
! AgGePt2, relaxed, DFT PBE-GGA; values from VASP
! N(E_F) (states/eV/f.u.): 1.80
! Magnetization (μB/f.u.): 0.000
! Space group: I-42d (122)
! Calculated total energy (eV per cell): -39.91
! Theoretical density (g/cm3): 13.56
&SYSTEM
  ibrav = 0, nat = 8, ntyp = 3
/
ATOMIC_SPECIES
Ag 107.87 Ag.upf
Ge 72.64 Ge.upf
Pt 195.08 Pt.upf
CELL_PARAMETERS angstrom
-3.5762 3.5762 2.7331
3.5762 -3.5762 2.7331
3.5762 3.5762 -2.7331
ATOMIC_POSITIONS crystal
Ag 0.0000 0.0000 0.0000
Ag 0.7500 0.2500 0.5000
Ge 0.2500 0.7500 0.5000
Ge 0.5000 0.5000 0.0000
Pt 0.1653 0.6250 0.0403
Pt 0.3750 0.4153 0.5403
Pt 0.5847 0.1250 0.9597
Pt 0.8750 0.8347 0.4597

Entry 15:
! Zr3In2S6, relaxed, DFT PBE-GGA; values from VASP
! N(E_F) (states/eV/f.u.): 5.33
! Magnetization (μB/f.u.): 0.000
! Space group: C2/m (12)
! Calculated total energy (eV per cell): -69.41
! Theoretical density (g/cm3): 4.38
&SYSTEM
  ibrav = 0, nat = 11, ntyp = 3
/
ATOMIC_SPECIES
Zr 91.22 Zr.upf
In 114.82 In.upf
S 32.06 S.upf
CELL_PARAMETERS angstrom
3.1459 -5.4505 0.0000
3.1459 5.4505 0.0000
-2.1035 0.0000 7.6938
ATOMIC_POSITIONS crystal
Zr 0.0000 0.0000 0.0000
Zr 0.3335 0.6665 0.0000
Zr 0.6665 0.3335 0.0000
In 0.1665 0.8335 0.5000
In 0.8335 0.1665 0.5000
S 0.0650 0.4006 0.2012
S 0.2637 0.2637 0.7976
S 0.4006 0.0650 0.2012
S 0.5994 0.9350 0.7988
S 0.7363 0.7363 0.2024
S 0.9350 0.5994 0.7988

Entry 16:
! TaAlZn, relaxed, DFT PBE-GGA; values from VASP
! N(E_F) (states/eV/f.u.): 1.06
! Magnetization (μB/f.u.): 0.000
! Space group: I4mm (107)
! Calculated total energy (eV per cell): -17.02
! Theoretical density (g/cm3): 9.34
&SYSTEM
  ibrav = 0, nat = 3, ntyp = 3
/
ATOMIC_SPECIES
Ta 180.95 Ta.upf
Al 26.98 Al.upf
Zn 65.41 Zn.upf
CELL_PARAMETERS angstrom
-1.4144 1.4144 6.0756
1.4144 -1.4144 6.0756
1.4144 1.4144 -6.0756
ATOMIC_POSITIONS crystal
Ta 0.0000 0.0000 0.0000
Al 0.3328 0.3328 0.0000
Zn 0.6708 0.6708 0.0000

Entry 17:
! GdPuCuGe, relaxed, DFT PBE-GGA; values from VASP
! N(E_F) (states/eV/f.u.): 7.99
! Magnetization (μB/f.u.): 0.903
! Space group: F-43m (216)
! Calculated total energy (eV per cell): -38.35
! Theoretical density (g/cm3): 9.96
&SYSTEM
  ibrav = 0, nat = 4, ntyp = 4
/
ATOMIC_SPECIES
Gd 157.25 Gd.upf
Pu 244.00 Pu.upf
Cu 63.55 Cu.upf
Ge 72.64 Ge.upf
CELL_PARAMETERS angstrom
0.0000 3.5518 3.5518
3.5518 0.0000 3.5518
3.5518 3.5518 0.0000
ATOMIC_POSITIONS crystal
Gd 0.0000 0.0000 0.0000
Pu 0.5000 0.5000 0.5000
Cu 0.2500 0.2500 0.2500
Ge 0.7500 0.7500 0.7500

Entry 18:
! RuAu3N, relaxed, DFT PBE-GGA; values from VASP
! N(E_F) (states/eV/f.u.): 3.69
! Magnetization (μB/f.u.): 1.839
! Space group: Pm-3m (221)
! Energy above the lowest structure with this stoichiometry (kcal/mol of atoms): 0.00
! Theoretical density (g/cm3): 14.51
&SYSTEM
  ibrav = 0, nat = 5, ntyp = 3
/
ATOMIC_SPECIES
Ru 101.07 Ru.upf
Au 196.97 Au.upf
N 14.01 N.upf
CELL_PARAMETERS angstrom
4.3230 0.0000 0.0000
0.0000 4.3230 0.0000
0.0000 0.0000 4.3230
ATOMIC_POSITIONS crystal
Ru 0.0000 0.0000 0.0000
Au 0.0000 0.5000 0.5000
Au 0.5000 0.0000 0.5000
Au 0.5000 0.5000 0.0000
N 0.5000 0.5000 0.5000

Entry 19:
! UGaI6, relaxed, DFT PBE-GGA; values from VASP
! N(E_F) (states/eV/f.u.): 0.31
! Magnetization (μB/f.u.): 1.000
! Space group: C2/m (12)
! Calculated total energy (eV per cell): -28.90
! Theoretical density (g/cm3): 4.50
&SYSTEM
  ibrav = 0, nat = 8, ntyp = 3
/
ATOMIC_SPECIES
U 238.03 U.upf
Ga 69.72 Ga.upf
I 126.90 I.upf
CELL_PARAMETERS angstrom
3.8857 -6.9016 0.0000
3.8857 6.9016 0.0000
-2.3010 0.0000 7.3582
ATOMIC_POSITIONS crystal
U 0.0000 0.0000 0.0000
Ga 0.5000 0.5000 0.5000
I 0.0776 0.3741 0.2355
I 0.2410 0.2410 0.7724
I 0.3741 0.0776 0.2355
I 0.6259 0.9224 0.7645
I 0.7590 0.7590 0.2276
I 0.9224 0.6259 0.7645

Entry 20:
! Ag3OsBr2F6, relaxed, DFT PBE-GGA; values from VASP
! Magnetization (μB/f.u.): 2.979
! Space group: C2/m (12)
! Calculated total energy (eV per cell): -48.88
! Theoretical density (g/cm3): 5.27
&SYSTEM
  ibrav = 0, nat = 12, ntyp = 4
/
ATOMIC_SPECIES
Ag 107.87 Ag.upf
Os 190.23 Os.upf
Br 79.90 Br.upf
F 19.00 F.upf
CELL_PARAMETERS angstrom
6.9936 -3.6091 0.0000
6.9936 3.6091 0.0000
-0.4750 0.0000 4.9119
ATOMIC_POSITIONS crystal
Ag 0.0000 0.0000 0.0000
Ag 0.0000 0.5000 0.5000
Ag 0.5000 0.0000 0.5000
Os 0.5000 0.5000 0.5000
Br 0.1848 0.1848 0.1561
Br 0.8152 0.8152 0.8439
F 0.2462 0.6287 0.2775
F 0.3713 0.7538 0.7225
F 0.3915 0.3915 0.7110
F 0.6085 0.6085 0.2890
F 0.6287 0.2462 0.2775
F 0.7538 0.3713 0.7225